Record 1
Computed, not measured: an optimized crystal structure of Nd7Ho3Er at the PBE level of DFT.

The crystal system is monoclinic. The relative energy among the computed polymorphs comes out at 0 meV/atom. The formation energy comes out at 0.184 eV/atom.

a b c (Å): 19.303 7.186 12.624
angles (deg): 90.00 116.47 90.00
Space group C2/c (No. 15)
Symmetry-distinct sites (fractional):
Nd 0.000 0.211 0.250 x4
Nd 0.159 0.495 0.773 x8
Nd 0.166 0.246 0.025 x8
Nd 0.168 0.248 0.528 x8
Ho 0.000 0.500 0.000 x4
Ho 0.171 0.002 0.274 x8
Er 0.000 0.000 0.000 x4


Record 2
Computed, not measured: an optimized crystal structure of Nd16Ho7Er6 at the PBE level of DFT.

The crystal system is cubic. The formation energy comes out at 0.208 eV/atom.

a b c (Å): 15.966 15.966 15.966
angles (deg): 90.00 90.00 90.00
Space group Fm-3m (No. 225)
Symmetry-distinct sites (fractional):
Nd 0.125 0.125 0.125 x32
Nd 0.149 0.149 0.351 x32
Ho 0.000 0.000 0.000 x4
Ho 0.000 0.250 0.250 x24
Er 0.000 0.000 0.264 x24


Record 3
Computed, not measured: an optimized crystal structure of Nd2Ho3Er4 at the PBE level of DFT.

The crystal system is monoclinic. The formation energy comes out at 0.096 eV/atom.

a b c (Å): 16.216 11.559 6.115
angles (deg): 90.00 96.18 90.00
Space group C2/c (No. 15)
Symmetry-distinct sites (fractional):
Nd 0.123 0.145 0.322 x8
Ho 0.000 0.098 0.750 x4
Ho 0.164 0.402 0.598 x8
Er 0.046 0.360 0.016 x8
Er 0.217 0.138 0.849 x8


Taking the records one at a time from the top gives DFT total energy values of -4.513 -4.472 -4.517 eV/atom.
Taking the records one at a time from the top gives total magnetic moment values of 0.00 0.00 0.00 μB/cell.